Below is CePm4Tm3 after structural relaxation, with properties calculated at the GGA-PBE level.

Cell and atoms, written as extended XYZ:
```
8
Lattice="11.7698 -1.7103 0.0000 11.7698 1.7103 0.0000 -1.9423 0.0000 6.5185" Properties=species:S:1:pos:R:3 pbc="T T T"
Ce 0.0000 0.0000 0.0000
Pm 5.2174 0.0000 1.5308
Pm 7.6533 0.0000 4.1307
Pm 13.9440 0.0000 2.3878
Pm 16.3799 0.0000 4.9877
Tm 8.6478 0.0000 0.7731
Tm 10.7987 0.0000 3.2592
Tm 12.9496 0.0000 5.7454
```

## Properties
- symmetry = C2/m, No. 12
- density of states at the Fermi level (states/eV/cell) = 16.04
- M_tot (μB/cell) = 1.00
- formation energy (meV per atom) = 197

***

Below is CePm5Tm6 after structural relaxation, with properties calculated at the GGA-PBE level.

Cell and atoms, written as extended XYZ:
```
12
Lattice="-2.5379 4.9544 7.5992 2.5379 -4.9544 7.5992 2.5379 4.9544 -7.5992" Properties=species:S:1:pos:R:3 pbc="T T T"
Ce 0.0000 0.0000 0.0000
Pm 2.5379 0.0000 2.5205
Pm 0.0000 0.0000 5.0752
Pm 0.0000 4.9544 0.0000
Pm 0.0000 0.0000 10.1232
Pm 0.0000 4.9544 5.0788
Tm 2.5379 -2.4946 5.0833
Tm 2.5379 2.4438 0.0000
Tm 0.0000 2.4599 2.5159
Tm 2.5379 2.4946 5.0833
Tm 0.0000 2.5106 7.5992
Tm 0.0000 7.4490 2.5159
```

## Properties
- symmetry = Immm, No. 71
- density of states at the Fermi level (states/eV/cell) = 18.23
- M_tot (μB/cell) = 0.97
- formation energy (meV per atom) = 36

***

Below is CePm7Tm12 after structural relaxation, with properties calculated at the GGA-PBE level.

Cell and atoms, written as extended XYZ:
```
20
Lattice="6.1105 3.5279 4.9991 -6.1105 3.5279 4.9991 0.0000 -7.0557 4.9991" Properties=species:S:1:pos:R:3 pbc="T T T"
Ce 0.0000 0.0000 0.0000
Pm -5.4886 1.0812 6.4765
Pm -3.6806 -4.2127 8.5209
Pm 1.8080 -5.2939 6.4765
Pm 0.0000 0.0000 7.4987
Pm -1.8080 5.2939 8.5209
Pm 3.6806 4.2127 6.4765
Pm 5.4886 -1.0812 8.5209
Tm -2.0299 -0.4336 4.6881
Tm -0.8859 -3.2875 6.8416
Tm -3.2900 -0.8765 8.1558
Tm 1.3905 -1.5411 4.6881
Tm -2.4041 2.4110 6.8416
Tm 0.6394 1.9747 4.6881
Tm -0.6394 -1.9748 10.3093
Tm 2.4041 -2.4110 8.1558
Tm -1.3905 1.5411 10.3093
Tm 3.2900 0.8765 6.8416
Tm 0.8859 3.2875 8.1558
Tm 2.0299 0.4336 10.3093
```

## Properties
- symmetry = R-3, No. 148
- density of states at the Fermi level (states/eV/cell) = 38.54
- M_tot (μB/cell) = 0.00
- formation energy (meV per atom) = 242

***

Question: Which of these has the highest formation energy?
Answer: CePm7Tm12

***

Question: density of states at the Fermi level of number 2 (CePm5Tm6)?
Answer: 18.23 states/eV/cell